Compound: Mg3InH
Source: the Alexandria database
Functional: PBE-GGA
Structure: optimized geometry

SG: P2_1/c, No. 14
Offset from the most stable computed form (meV per atom): 0
V (Å³/cell): 373.2

Cell and atoms, written as POSCAR:
```
Mg3InH
1.0
5.596 0.000 0.000
0.000 6.378 0.000
-1.858 0.000 10.458
Mg In H
12 4 4
direct
0.117 0.140 0.124 Mg
0.117 0.360 0.624 Mg
0.367 0.610 0.876 Mg
0.367 0.890 0.376 Mg
0.369 0.115 0.871 Mg
0.369 0.385 0.371 Mg
0.631 0.615 0.629 Mg
0.631 0.885 0.129 Mg
0.633 0.110 0.624 Mg
0.633 0.390 0.124 Mg
0.883 0.640 0.376 Mg
0.883 0.860 0.876 Mg
0.143 0.643 0.130 In
0.143 0.857 0.630 In
0.857 0.143 0.370 In
0.857 0.357 0.870 In
0.428 0.138 0.061 H
0.428 0.362 0.561 H
0.572 0.638 0.439 H
0.572 0.862 0.939 H
```